1.
BaFeAgP | PBE | relaxed

Properties
ΔH_f (0 K): -0.55 eV/atom

abc: 3.882 3.882 11.816
angles: 90.00 90.00 90.00
Element x y z (fractional)
1 Fe 0.750 0.250 0.000
2 Ag 0.250 0.750 0.500
3 Ba 0.250 0.250 0.756
4 P 0.750 0.750 0.908
5 Ba 0.750 0.750 0.244
6 Fe 0.250 0.750 0.000
7 Ag 0.750 0.250 0.500
8 P 0.250 0.250 0.092

***

2.
BaFeReAg2 | PBE | relaxed

Properties
ΔH_f (0 K): 1.65 eV/atom

abc: 4.936 5.544 4.936
angles: 90.00 90.00 90.00
Element x y z (fractional)
1 Re 0.500 0.500 0.500
2 Ag 0.500 0.000 0.000
3 Ba 0.000 0.500 0.000
4 Ag 0.000 0.000 0.500
5 Fe 0.000 0.000 0.000

***

3.
BaFe2AgS | PBE | relaxed

Properties
Formation energy without anion corrections: 303 meV/atom

abc: 4.433 5.365 4.433
angles: 90.00 90.00 90.00
Element x y z (fractional)
1 Fe 0.000 0.000 0.500
2 Fe 0.500 0.000 0.000
3 Ag 0.000 0.500 0.000
4 Ba 0.500 0.500 0.500
5 S 0.000 0.000 0.000

***

4.
Ba2GaAg | PBE | relaxed

Properties
ΔH_f (0 K): -0.27 eV/atom

abc: 4.021 5.880 5.880
angles: 90.00 90.00 90.00
Element x y z (fractional)
1 Ba 0.000 0.500 0.000
2 Ga 0.500 0.000 0.000
3 Ag 0.500 0.500 0.500
4 Ba 0.000 0.000 0.500

***

5.
Ba3Ga2Ag3 | PBE | relaxed

Properties
ΔH_f (0 K): -0.29 eV/atom

abc: 4.989 6.479 16.248
angles: 90.00 90.00 112.64
Element x y z (fractional)
1 Ga 0.200 0.400 0.095
2 Ba 0.096 0.193 0.602
3 Ba 0.096 0.193 0.898
4 Ba 0.606 0.213 0.250
5 Ga 0.800 0.600 0.595
6 Ag 0.701 0.402 0.750
7 Ba 0.394 0.787 0.750
8 Ba 0.904 0.807 0.398
9 Ag 0.627 0.253 0.462
10 Ba 0.904 0.807 0.102
11 Ag 0.373 0.747 0.962
12 Ag 0.373 0.747 0.538
13 Ga 0.800 0.600 0.905
14 Ag 0.299 0.598 0.250
15 Ga 0.200 0.400 0.405
16 Ag 0.627 0.253 0.038

***

6.
BaGa2Ag9 | PBE | relaxed

Properties
ΔH_f (0 K): -0.11 eV/atom

abc: 7.351 8.953 8.953
angles: 80.30 65.76 65.76
Element x y z (fractional)
1 Ag 0.686 0.172 0.583
2 Ag 0.750 0.500 0.500
3 Ga 0.875 0.250 0.250
4 Ga 0.875 0.750 0.250
5 Ba 0.500 0.000 0.000
6 Ag 0.142 0.417 0.172
7 Ag 0.608 0.083 0.328
8 Ag 0.731 0.828 0.583
9 Ag 0.019 0.672 0.917
10 Ga 0.875 0.250 0.750
11 Ag 0.000 0.000 0.000
12 Ag 0.442 0.417 0.828
13 Ag 0.308 0.083 0.672
14 Ag 0.731 0.583 0.828
15 Ag 0.019 0.917 0.672
16 Ba 0.250 0.500 0.500
17 Ag 0.064 0.328 0.917
18 Ag 0.142 0.172 0.417
19 Ag 0.608 0.328 0.083
20 Ag 0.308 0.672 0.083
21 Ga 0.375 0.750 0.750
22 Ag 0.064 0.917 0.328
23 Ag 0.686 0.583 0.172
24 Ag 0.442 0.828 0.417

***

| no. | calculated density (g/cm³) | total magnetic moment (μB per atom) |
| --- | --- | --- |
| 1 | 6.2 | 0.000 |
| 2 | 7.3 | 1.290 |
| 3 | 6.1 | 0.840 |
| 4 | 5.4 | 0.000 |
| 5 | 6.0 | 0.000 |
| 6 | 8.5 | 0.000 |